Material: Sc2Zn3Sn3
Method: DFT, PBE
State: optimized geometry

Geometry as POSCAR:
```
Sc2Zn3Sn3
1.0
4.3517 0.0000 0.0000
0.0000 4.4216 0.0000
0.0000 0.0000 8.3923
Sc Zn Sn
2 3 3
Direct
0.0000 0.0000 0.2478 Sc
0.0000 0.0000 0.7522 Sc
0.0000 0.5000 0.0000 Zn
0.5000 0.5000 0.2316 Zn
0.5000 0.5000 0.7684 Zn
0.0000 0.5000 0.5000 Sn
0.5000 0.0000 0.0000 Sn
0.5000 0.0000 0.5000 Sn
```

Summary:
V in Å³ per atom: 20.18
Space group: No. 47

Material: Sc2Zn3Sn
Method: DFT, PBE
State: optimized geometry

Geometry as POSCAR:
```
Sc2Zn3Sn
1.0
0.0000 4.4807 7.7365
3.2700 0.0000 7.7365
3.2700 4.4807 0.0000
Sc Zn Sn
4 6 2
Direct
0.2447 0.7553 0.7553 Sc
0.2500 0.2500 0.2500 Sc
0.7500 0.7500 0.7500 Sc
0.7553 0.2447 0.2447 Sc
0.1606 0.1606 0.8394 Zn
0.1621 0.6783 0.3217 Zn
0.3217 0.8379 0.1621 Zn
0.6783 0.1621 0.8379 Zn
0.8379 0.3217 0.6783 Zn
0.8394 0.8394 0.1606 Zn
0.3345 0.3345 0.6655 Sn
0.6655 0.6655 0.3345 Sn
```

Summary:
V in Å³ per atom: 18.89
Space group: No. 69

Material: Sc2ZnSn
Method: DFT, PBE
State: optimized geometry

Geometry as POSCAR:
```
Sc2ZnSn
1.0
4.4777 0.0000 0.0000
0.0000 4.4777 0.0000
0.0000 0.0000 4.1213
Sc Zn Sn
2 1 1
Direct
0.0000 0.5000 0.0000 Sc
0.5000 0.0000 0.0000 Sc
0.0000 0.0000 0.5000 Zn
0.5000 0.5000 0.5000 Sn
```

Summary:
V in Å³ per atom: 20.66
Space group: No. 123

Material: ScZnSn
Method: DFT, PBE
State: optimized geometry

Geometry as POSCAR:
```
ScZnSn
1.0
4.6017 0.0000 0.0000
-2.3008 3.9852 0.0000
0.0000 0.0000 3.3115
Sc Zn Sn
1 1 1
Direct
0.0000 0.0000 0.0000 Sc
0.3333 0.6667 0.4985 Zn
0.6667 0.3333 0.5007 Sn
```

Summary:
V in Å³ per atom: 20.24
Space group: No. 156

Material: Sc4ZnSn2
Method: DFT, PBE
State: optimized geometry

Geometry as POSCAR:
```
Sc4ZnSn2
1.0
4.8326 0.0000 0.0000
0.0000 4.8326 0.0000
0.0000 0.0000 15.2448
Sc Zn Sn
8 2 4
Direct
0.0000 0.0000 0.1746 Sc
0.0000 0.0000 0.8254 Sc
0.0000 0.5000 0.0000 Sc
0.0000 0.5000 0.5000 Sc
0.5000 0.0000 0.0000 Sc
0.5000 0.0000 0.5000 Sc
0.5000 0.5000 0.3254 Sc
0.5000 0.5000 0.6746 Sc
0.0000 0.0000 0.0000 Zn
0.5000 0.5000 0.5000 Zn
0.0000 0.0000 0.3668 Sn
0.0000 0.0000 0.6332 Sn
0.5000 0.5000 0.1332 Sn
0.5000 0.5000 0.8668 Sn
```

Summary:
V in Å³ per atom: 25.43
Space group: No. 139

Material: Sc2ZnSn2
Method: DFT, PBE
State: optimized geometry

Geometry as POSCAR:
```
Sc2ZnSn2
1.0
7.1894 0.0000 0.0000
0.0000 7.1894 0.0000
0.0000 0.0000 4.3220
Sc Zn Sn
4 2 4
Direct
0.1691 0.3309 0.0000 Sc
0.3309 0.8309 0.0000 Sc
0.6691 0.1691 0.0000 Sc
0.8309 0.6691 0.0000 Sc
0.0000 0.0000 0.5000 Zn
0.5000 0.5000 0.5000 Zn
0.1393 0.6393 0.5000 Sn
0.3607 0.1393 0.5000 Sn
0.6393 0.8607 0.5000 Sn
0.8607 0.3607 0.5000 Sn
```

Summary:
V in Å³ per atom: 22.34
Polymorph energy (0 for the lowest one) in meV per atom: 0
Space group: No. 127

Material: ScZnSn
Method: DFT, PBE
State: optimized geometry

Geometry as POSCAR:
```
ScZnSn
1.0
6.3776 0.0000 0.0000
0.0000 6.3776 0.0000
0.0000 0.0000 6.3776
Sc Zn Sn
4 4 4
Direct
0.0000 0.0000 0.0000 Sc
0.0000 0.5000 0.5000 Sc
0.5000 0.0000 0.5000 Sc
0.5000 0.5000 0.0000 Sc
0.2500 0.2500 0.2500 Zn
0.2500 0.7500 0.7500 Zn
0.7500 0.2500 0.7500 Zn
0.7500 0.7500 0.2500 Zn
0.0000 0.0000 0.5000 Sn
0.0000 0.5000 0.0000 Sn
0.5000 0.0000 0.0000 Sn
0.5000 0.5000 0.5000 Sn
```

Summary:
V in Å³ per atom: 21.62
Space group: No. 216

Material: Sc2ZnSn2
Method: DFT, PBE
State: optimized geometry

Geometry as POSCAR:
```
Sc2ZnSn2
1.0
8.3662 0.0000 0.0000
0.0000 8.3662 0.0000
0.0000 0.0000 3.4118
Sc Zn Sn
4 2 4
Direct
0.1343 0.3657 0.0000 Sc
0.3657 0.8657 0.0000 Sc
0.6343 0.1343 0.0000 Sc
0.8657 0.6343 0.0000 Sc
0.0000 0.0000 0.0000 Zn
0.5000 0.5000 0.0000 Zn
0.1691 0.6691 0.5000 Sn
0.3309 0.1691 0.5000 Sn
0.6691 0.8309 0.5000 Sn
0.8309 0.3309 0.5000 Sn
```

Summary:
V in Å³ per atom: 23.88
Polymorph energy (0 for the lowest one) in meV per atom: 147
Space group: No. 127

Material: ScZnSn
Method: DFT, PBE
State: optimized geometry

Geometry as POSCAR:
```
ScZnSn
1.0
3.3370 0.0000 0.0000
0.0000 3.3370 0.0000
0.0000 0.0000 11.3489
Sc Zn Sn
2 2 2
Direct
0.0000 0.0000 0.0000 Sc
0.5000 0.5000 0.5000 Sc
0.0000 0.0000 0.3500 Zn
0.5000 0.5000 0.8500 Zn
0.0000 0.0000 0.6903 Sn
0.5000 0.5000 0.1903 Sn
```

Summary:
V in Å³ per atom: 21.06
Space group: No. 107

Material: ScZn3Sn
Method: DFT, PBE
State: optimized geometry

Geometry as POSCAR:
```
ScZn3Sn
1.0
5.1546 0.0000 0.0000
0.0000 5.1546 0.0000
0.0000 0.0000 5.1546
Sc Zn Sn
1 3 1
Direct
0.0000 0.0000 0.0000 Sc
0.0000 0.0000 0.5000 Zn
0.0000 0.5000 0.0000 Zn
0.5000 0.0000 0.0000 Zn
0.5000 0.5000 0.5000 Sn
```

Summary:
V in Å³ per atom: 27.39
Polymorph energy (0 for the lowest one) in meV per atom: 117
Space group: No. 221

Material: ScZnSn
Method: DFT, PBE
State: optimized geometry

Geometry as POSCAR:
```
ScZnSn
1.0
4.1418 0.0000 0.0000
0.0000 4.1418 0.0000
0.0000 0.0000 7.2805
Sc Zn Sn
2 2 2
Direct
0.2500 0.2500 0.1640 Sc
0.7500 0.7500 0.8360 Sc
0.2500 0.7500 0.5000 Zn
0.7500 0.2500 0.5000 Zn
0.2500 0.2500 0.7629 Sn
0.7500 0.7500 0.2371 Sn
```

Summary:
V in Å³ per atom: 20.82
Space group: No. 129

Material: Sc3Zn2Sn
Method: DFT, PBE
State: optimized geometry

Geometry as POSCAR:
```
Sc3Zn2Sn
1.0
4.7947 0.0000 0.0000
0.0000 14.4090 0.0000
0.0000 0.0000 3.4902
Sc Zn Sn
6 4 2
Direct
0.0000 0.0000 0.0000 Sc
0.0000 0.3268 0.0000 Sc
0.0000 0.6732 0.0000 Sc
0.5000 0.1732 0.0000 Sc
0.5000 0.5000 0.0000 Sc
0.5000 0.8268 0.0000 Sc
0.0000 0.1717 0.5000 Zn
0.0000 0.8283 0.5000 Zn
0.5000 0.3283 0.5000 Zn
0.5000 0.6717 0.5000 Zn
0.0000 0.5000 0.5000 Sn
0.5000 0.0000 0.5000 Sn
```

Summary:
V in Å³ per atom: 20.09
Space group: No. 65

Material: ScZn3Sn
Method: DFT, PBE
State: optimized geometry

Geometry as POSCAR:
```
ScZn3Sn
1.0
5.0523 0.0000 0.0000
0.0000 5.0523 0.0000
0.0000 0.0000 5.0523
Sc Zn Sn
1 3 1
Direct
0.0000 0.0000 0.0000 Sc
0.0000 0.5000 0.5000 Zn
0.5000 0.0000 0.5000 Zn
0.5000 0.5000 0.0000 Zn
0.5000 0.5000 0.5000 Sn
```

Summary:
V in Å³ per atom: 25.79
Polymorph energy (0 for the lowest one) in meV per atom: 0
Space group: No. 221

Material: ScZnSn
Method: DFT, PBE
State: optimized geometry

Geometry as POSCAR:
```
ScZnSn
1.0
3.6140 0.0000 0.0000
0.0000 16.1534 0.0000
0.0000 0.0000 4.3061
Sc Zn Sn
4 4 4
Direct
0.0000 0.1000 0.2500 Sc
0.0000 0.9000 0.7500 Sc
0.5000 0.4000 0.7500 Sc
0.5000 0.6000 0.2500 Sc
0.0000 0.4603 0.2500 Zn
0.0000 0.5397 0.7500 Zn
0.5000 0.0397 0.7500 Zn
0.5000 0.9603 0.2500 Zn
0.0000 0.2949 0.2500 Sn
0.0000 0.7051 0.7500 Sn
0.5000 0.2051 0.7500 Sn
0.5000 0.7949 0.2500 Sn
```

Summary:
V in Å³ per atom: 20.95
Space group: No. 63

Material: Sc6ZnSn
Method: DFT, PBE
State: optimized geometry

Geometry as POSCAR:
```
Sc6ZnSn
1.0
7.9494 0.0000 0.0000
0.0000 8.5281 0.0000
-1.5080 0.0000 6.0901
Sc Zn Sn
12 2 2
Direct
0.0970 0.2162 0.2914 Sc
0.0970 0.7838 0.2914 Sc
0.1752 0.5000 0.9865 Sc
0.3248 0.0000 0.0135 Sc
0.4030 0.2838 0.7086 Sc
0.4030 0.7162 0.7086 Sc
0.5970 0.2838 0.2914 Sc
0.5970 0.7162 0.2914 Sc
0.6752 0.0000 0.9865 Sc
0.8248 0.5000 0.0135 Sc
0.9030 0.2162 0.7086 Sc
0.9030 0.7838 0.7086 Sc
0.0000 0.0000 0.0000 Zn
0.5000 0.5000 0.0000 Zn
0.0000 0.5000 0.5000 Sn
0.5000 0.0000 0.5000 Sn
```

Summary:
V in Å³ per atom: 25.80
Space group: No. 12

Material: Sc2Zn5Sn
Method: DFT, PBE
State: optimized geometry

Geometry as POSCAR:
```
Sc2Zn5Sn
1.0
2.0587 -7.9343 0.0000
2.0587 7.9343 0.0000
0.0000 0.0000 8.9409
Sc Zn Sn
4 10 2
Direct
0.0000 0.0000 0.0000 Sc
0.0000 0.0000 0.5000 Sc
0.1936 0.8064 0.7500 Sc
0.8064 0.1936 0.2500 Sc
0.1957 0.8043 0.1050 Zn
0.1957 0.8043 0.3950 Zn
0.3521 0.6479 0.0256 Zn
0.3521 0.6479 0.4744 Zn
0.3786 0.6214 0.7500 Zn
0.6214 0.3786 0.2500 Zn
0.6479 0.3521 0.5256 Zn
0.6479 0.3521 0.9744 Zn
0.8043 0.1957 0.6050 Zn
0.8043 0.1957 0.8950 Zn
0.4582 0.5418 0.2500 Sn
0.5418 0.4582 0.7500 Sn
```

Summary:
V in Å³ per atom: 18.26
Space group: No. 63

Material: Sc2ZnSn
Method: DFT, PBE
State: optimized geometry

Geometry as POSCAR:
```
Sc2ZnSn
1.0
3.3835 0.0000 0.0000
-1.6918 2.9302 0.0000
0.0000 0.0000 26.9049
Sc Zn Sn
6 3 3
Direct
0.0000 0.0000 0.2434 Sc
0.0000 0.0000 0.7566 Sc
0.3333 0.6667 0.4233 Sc
0.3333 0.6667 0.9100 Sc
0.6667 0.3333 0.0900 Sc
0.6667 0.3333 0.5767 Sc
0.0000 0.0000 0.5000 Zn
0.3333 0.6667 0.1667 Zn
0.6667 0.3333 0.8333 Zn
0.0000 0.0000 0.0000 Sn
0.3333 0.6667 0.6667 Sn
0.6667 0.3333 0.3333 Sn
```

Summary:
V in Å³ per atom: 22.23
Space group: No. 166

Material: Sc4Zn2Sn
Method: DFT, PBE
State: optimized geometry

Geometry as POSCAR:
```
Sc4Zn2Sn
1.0
2.3771 1.3724 7.7333
-2.3771 1.3724 7.7333
0.0000 -2.7448 7.7333
Sc Zn Sn
4 2 1
Direct
0.1121 0.1121 0.1121 Sc
0.3675 0.3675 0.3675 Sc
0.6325 0.6325 0.6325 Sc
0.8879 0.8879 0.8879 Sc
0.2491 0.2491 0.2491 Zn
0.7509 0.7509 0.7509 Zn
0.5000 0.5000 0.5000 Sn
```

Summary:
V in Å³ per atom: 21.62
Space group: No. 166

Material: Sc2ZnSn
Method: DFT, PBE
State: optimized geometry

Geometry as POSCAR:
```
Sc2ZnSn
1.0
5.8501 0.0000 0.0000
0.0000 4.3467 0.0000
-2.1793 0.0000 6.7546
Sc Zn Sn
4 2 2
Direct
0.1835 0.2500 0.4118 Sc
0.1854 0.2500 0.9294 Sc
0.8146 0.7500 0.0706 Sc
0.8165 0.7500 0.5882 Sc
0.3301 0.7500 0.2092 Zn
0.6699 0.2500 0.7908 Zn
0.3493 0.7500 0.7115 Sn
0.6507 0.2500 0.2885 Sn
```

Summary:
V in Å³ per atom: 21.47
Space group: No. 11

Material: Sc4ZnSn
Method: DFT, PBE
State: optimized geometry

Geometry as POSCAR:
```
Sc4ZnSn
1.0
2.3737 1.3705 7.7125
-2.3737 1.3705 7.7125
0.0000 -2.7409 7.7125
Sc Zn Sn
4 1 1
Direct
0.1182 0.1182 0.1182 Sc
0.3675 0.3675 0.3675 Sc
0.6325 0.6325 0.6325 Sc
0.8818 0.8818 0.8818 Sc
0.0000 0.0000 0.0000 Zn
0.5000 0.5000 0.5000 Sn
```

Summary:
V in Å³ per atom: 25.09
Space group: No. 166

Material: Sc2ZnSn
Method: DFT, PBE
State: optimized geometry

Geometry as POSCAR:
```
Sc2ZnSn
1.0
3.5098 0.0000 0.0000
0.0000 3.5098 0.0000
0.0000 0.0000 6.7127
Sc Zn Sn
2 1 1
Direct
0.0000 0.0000 0.2342 Sc
0.0000 0.0000 0.7658 Sc
0.5000 0.5000 0.0000 Zn
0.5000 0.5000 0.5000 Sn
```

Summary:
V in Å³ per atom: 20.67
Space group: No. 123

Material: ZrSc5Sn6
Method: DFT, PBE
State: optimized geometry

Geometry as POSCAR:
```
ZrSc5Sn6
1.0
2.9033 -7.4031 0.0000
2.9033 7.4031 0.0000
-1.6504 0.0000 6.6297
Zr Sc Sn
1 5 6
Direct
0.0000 0.0000 0.0000 Zr
0.0000 0.0000 0.5000 Sc
0.3334 0.6666 0.5000 Sc
0.3337 0.6663 0.0000 Sc
0.6663 0.3337 0.0000 Sc
0.6666 0.3334 0.5000 Sc
0.1650 0.8300 0.2510 Sn
0.1700 0.8350 0.7490 Sn
0.4978 0.4978 0.7504 Sn
0.5022 0.5022 0.2496 Sn
0.8300 0.1650 0.2510 Sn
0.8350 0.1700 0.7490 Sn
```

Summary:
V in Å³ per atom: 23.75
Space group: No. 12

Material: Zr4ScSn2
Method: DFT, PBE
State: optimized geometry

Geometry as POSCAR:
```
Zr4ScSn2
1.0
5.3959 0.0000 0.0000
0.0000 5.3980 0.0000
-2.6809 0.0000 11.0029
Zr Sc Sn
8 2 4
Direct
0.1396 0.0000 0.2798 Zr
0.2176 0.5000 0.4352 Zr
0.2824 0.0000 0.5648 Zr
0.3604 0.5000 0.7202 Zr
0.6396 0.5000 0.2798 Zr
0.7176 0.0000 0.4352 Zr
0.7824 0.5000 0.5648 Zr
0.8604 0.0000 0.7202 Zr
0.0000 0.0000 0.0000 Sc
0.5000 0.5000 0.0000 Sc
0.0736 0.5000 0.1471 Sn
0.4264 0.0000 0.8529 Sn
0.5736 0.0000 0.1471 Sn
0.9264 0.5000 0.8529 Sn
```

Summary:
V in Å³ per atom: 22.89
Polymorph energy (0 for the lowest one) in meV per atom: 0
Space group: No. 12

Material: ZrSc3Sn
Method: DFT, PBE
State: optimized geometry

Geometry as POSCAR:
```
ZrSc3Sn
1.0
5.3167 0.0000 0.0000
0.0000 5.3167 0.0000
0.0000 0.0000 5.3167
Zr Sc Sn
1 3 1
Direct
0.0000 0.0000 0.0000 Zr
0.0000 0.5000 0.5000 Sc
0.5000 0.0000 0.5000 Sc
0.5000 0.5000 0.0000 Sc
0.5000 0.5000 0.5000 Sn
```

Summary:
V in Å³ per atom: 30.06
Polymorph energy (0 for the lowest one) in meV per atom: 895
Space group: No. 221

Material: Zr5Sc5Sn6
Method: DFT, PBE
State: optimized geometry

Geometry as POSCAR:
```
Zr5Sc5Sn6
1.0
5.8926 0.0000 0.0000
0.0000 7.3048 4.2469
0.0000 -7.3048 4.2469
Zr Sc Sn
5 5 6
Direct
0.0000 0.0000 0.0000 Zr
0.0000 0.5214 0.7610 Zr
0.0000 0.7610 0.5214 Zr
0.5000 0.0006 0.7611 Zr
0.5000 0.7611 0.0006 Zr
0.2492 0.0906 0.4256 Sc
0.2492 0.4256 0.0906 Sc
0.5000 0.5172 0.5172 Sc
0.7508 0.0906 0.4256 Sc
0.7508 0.4256 0.0906 Sc
0.0000 0.1538 0.7594 Sn
0.0000 0.3662 0.3662 Sn
0.0000 0.7594 0.1538 Sn
0.5000 0.1551 0.1551 Sn
0.5000 0.3657 0.7570 Sn
0.5000 0.7570 0.3657 Sn
```

Summary:
V in Å³ per atom: 22.85
Space group: No. 38

no.,DOS at the Fermi energy (states/eV per cell),formation enthalpy at 0 K (eV/atom),size of the total moment (μB/atom)
1,2.9,-0.33,0.000
2,8.8,-0.42,0.000
3,2.5,-0.48,0.171
4,1.2,-0.39,0.000
5,13.0,-0.20,0.000
6,3.8,-0.42,0.000
7,4.3,-0.32,0.000
8,6.6,-0.27,0.000
9,5.1,-0.24,0.175
10,4.0,0.71,0.000
11,3.7,-0.38,0.000
12,7.5,-0.44,0.000
13,3.8,0.59,0.000
14,11.6,-0.32,0.000
15,24.2,0.11,0.000
16,6.0,-0.32,0.000
17,12.5,-0.30,0.000
18,8.9,-0.26,0.045
19,9.8,-0.48,0.012
20,10.1,-0.15,0.001
21,2.6,-0.45,0.000
22,8.7,-0.50,0.000
23,15.3,-0.32,0.000
24,9.2,0.56,0.705
25,10.2,-0.61,0.001